Record 1
DFT (GGA-PBE) results for an optimized crystal structure of MnInSn2P.

Output
* energy of formation: 489 meV per atom

Cell lengths 4.9804, 5.0772, 4.9804 Å; angles 90.00, 90.00, 90.00 degrees
Closest atoms and distances in Å follow each position.
Atoms (fractional coordinates):
P  0.5000  0.5000  0.5000  4 In 3.52, 8 Sn 3.56
Mn  0.0000  0.0000  0.0000  4 Sn 2.49, 2 In 2.54
In  0.0000  0.5000  0.0000  2 Mn 2.54
Sn  0.0000  0.0000  0.5000  2 Mn 2.49
Sn  0.5000  0.0000  0.0000  2 Mn 2.49


Record 2
DFT (GGA-PBE) results for an optimized crystal structure of CsVTe4.

Output
* uncorrected formation energy: -0.374 eV per atom
* offset from the most stable computed form: 11 kJ/mol of formula units

Cell lengths 5.6849, 10.1677, 9.6739 Å; angles 58.30, 81.85, 74.35 degrees
Closest atoms and distances in Å follow each position.
Atoms (fractional coordinates):
Te  0.4545  0.2278  0.7283  2 V 2.79-2.81
Te  0.1143  0.7151  0.1136  2 V 2.80-2.82
Te  0.5455  0.7722  0.2717  2 V 2.79-2.81
Te  0.0455  0.0439  0.7283  2 V 2.79-2.81
Te  0.8857  0.2849  0.8864  2 V 2.80-2.82
Te  0.3857  0.1713  0.1136  2 V 2.80-2.82
Te  0.6143  0.8287  0.8864  2 V 2.80-2.82
Te  0.9545  0.9561  0.2717  2 V 2.79-2.81
Cs  0.2500  0.6419  0.7162  10 Te 4.00-4.22
Cs  0.7500  0.3581  0.2838  10 Te 4.00-4.22
V  0.7500  0.9996  0.0009  8 Te 2.79-2.82, 2 V 2.84
V  0.2500  0.0004  0.9991  8 Te 2.79-2.82, 2 V 2.84


Record 3
DFT (GGA-PBE) results for an optimized crystal structure of CaTlAs2.

Output
* energy of formation: -331 meV per atom
* offset from the most stable computed form: 64 kJ/mol of formula units

Cell lengths 5.5777, 5.5777, 5.5777 Å; angles 131.53, 131.48, 71.01 degrees
Closest atoms and distances in Å follow each position.
Atoms (fractional coordinates):
Tl  0.2500  0.7500  0.5000  8 As 3.22-3.23, 4 Ca 3.24
As  0.0000  0.0000  0.0000  4 Ca 3.22-3.23, 4 Tl 3.22-3.23, 4 As 3.24
As  0.5000  0.5000  0.0000  4 Ca 3.22-3.23, 4 Tl 3.22-3.23, 4 As 3.24
Ca  0.7500  0.2500  0.5000  8 As 3.22-3.23, 4 Tl 3.24


N(E_F) / states/eV per cell: 3.4, 6.9, 1.5
Ρ / Mg/m³: 5.78, 5.03, 6.87